A plane-wave DFT calculation with PBE was carried out for a relaxed structure of Ag2GeSe.

abc: 7.5474 7.5474 6.0632
angles: 51.51 51.51 90.00
Last column: nearest neighbours and their distance in Å.
Element x y z (fractional)
Ag (0.1232, 0.6250, 0.2500)  2 Se 2.75, 2 Ge 2.77, 2 Ag 2.88
Ag (0.3750, 0.3732, 0.7500)  2 Se 2.75, 2 Ge 2.77, 2 Ag 2.88
Ag (0.6268, 0.1250, 0.2500)  2 Se 2.75, 2 Ge 2.77, 2 Ag 2.88
Ag (0.8750, 0.8768, 0.7500)  2 Se 2.75, 2 Ge 2.77, 2 Ag 2.88
Se (0.7500, 0.2500, 0.5000)  4 Ag 2.75, 2 Ge 2.88
Se (0.0000, 0.0000, 0.0000)  4 Ag 2.75, 2 Ge 2.88
Ge (0.5000, 0.5000, 0.0000)  4 Ag 2.77, 2 Se 2.88
Ge (0.2500, 0.7500, 0.5000)  4 Ag 2.77, 2 Se 2.88

**Symmetry**: No. 122
**Excess energy over the best structure of this formula in the dataset**: 0.0 meV/atom
**Energy relative to the elements, uncorrected**: 0.213 eV/atom

A plane-wave DFT calculation with PBE was carried out for a relaxed structure of SiAg2GeSe4.

abc: 6.4980 6.9233 9.2280
angles: 90.00 90.00 90.00
Last column: nearest neighbours and their distance in Å.
Element x y z (fractional)
Si (0.9943, 0.1635, 0.0000)  4 Se 2.29-2.36
Si (0.4943, 0.8365, 0.5000)  4 Se 2.29-2.36
Ge (0.9640, 0.1968, 0.5000)  4 Se 2.56-2.80
Ge (0.4640, 0.8032, 0.0000)  4 Se 2.56-2.80
Se (0.8676, 0.8492, 0.0000)  1 Si 2.33
Se (0.4062, 0.6872, 0.7126)  1 Si 2.29
Se (0.3676, 0.1508, 0.5000)  1 Si 2.33
Se (0.3571, 0.1595, 0.0000)  1 Si 2.36, 1 Ge 2.56
Se (0.9062, 0.3128, 0.7874)  1 Si 2.29
Se (0.9062, 0.3128, 0.2126)  1 Si 2.29
Se (0.4062, 0.6872, 0.2874)  1 Si 2.29
Se (0.8571, 0.8405, 0.5000)  1 Si 2.36, 1 Ge 2.56
Ag (0.0022, 0.6962, 0.7518)  4 Se 2.65-2.75
Ag (0.5022, 0.3038, 0.7482)  4 Se 2.65-2.75
Ag (0.0022, 0.6962, 0.2482)  4 Se 2.65-2.75
Ag (0.5022, 0.3038, 0.2518)  4 Se 2.65-2.75

**Symmetry**: No. 31
**Energy relative to the elements, uncorrected**: -0.245 eV/atom

A plane-wave DFT calculation with PBE was carried out for a relaxed structure of SmAg2GeSe4.

abc: 8.1198 8.1197 8.2913
angles: 120.69 120.69 90.49
Last column: nearest neighbours and their distance in Å.
Element x y z (fractional)
Ag (0.5000, 0.0000, 0.5000)  6 Se 2.82-2.85
Ag (0.0000, 0.0000, 0.5000)  6 Se 2.92-2.97
Ag (0.5000, 0.0000, 0.0000)  6 Se 2.82-2.85
Ag (0.5000, 0.5000, 0.0000)  6 Se 2.92-2.97
Se (0.2495, 0.7646, 0.0070)  1 Ge 2.80, 3 Ag 2.82-2.97, 2 Sm 2.90
Se (0.2535, 0.2468, 0.0110)  2 Ge 2.79, 3 Ag 2.85-2.93, 1 Sm 2.92
Se (0.7354, 0.2505, 0.4930)  1 Ge 2.80, 3 Ag 2.82-2.97, 2 Sm 2.90
Se (0.7468, 0.7535, 0.5110)  2 Ge 2.79, 3 Ag 2.85-2.93, 1 Sm 2.92
Se (0.7505, 0.2354, 0.9930)  1 Ge 2.80, 3 Ag 2.82-2.97, 2 Sm 2.90
Se (0.7465, 0.7532, 0.9890)  2 Ge 2.79, 3 Ag 2.85-2.93, 1 Sm 2.92
Se (0.2646, 0.7495, 0.5070)  1 Ge 2.80, 3 Ag 2.82-2.97, 2 Sm 2.90
Se (0.2532, 0.2465, 0.4890)  2 Ge 2.79, 3 Ag 2.85-2.93, 1 Sm 2.92
Sm (0.0000, 0.5000, 0.5000)  6 Se 2.90-2.92
Sm (0.0000, 0.5000, 0.0000)  6 Se 2.90-2.92
Ge (0.5000, 0.5000, 0.5000)  6 Se 2.79-2.80
Ge (0.0000, 0.0000, 0.0000)  6 Se 2.79-2.80

**Symmetry**: No. 74
**Energy relative to the elements, uncorrected**: -0.618 eV/atom